The following is a PBE calculation of a geometry-optimized Ac5La2PmY structure, from Alexandria.

a = 5.8883 Å, b = 11.8373 Å, c = 11.0747 Å
α = 90.00°, β = 90.00°, γ = 104.40°
Closest atoms and distances in Å follow each position.
Fractional positions:
1 Ac 0.3691 0.7383 0.0081  1 Pm 3.92, 4 La 4.00, 6 Ac 4.03-4.25
2 Ac 0.7198 0.4396 0.8226  1 Y 3.44, 2 Ac 3.55, 2 Pm 3.62
3 Ac 0.5001 0.0001 0.7582  2 Y 3.59, 4 La 3.94
4 Ac 0.2802 0.5604 0.6939  1 Y 3.44, 2 Ac 3.55, 2 Pm 3.63
5 Ac 0.9970 0.9940 0.5082  2 Y 3.68, 4 La 3.79-3.83, 4 Ac 4.04
6 Ac 0.6309 0.2617 0.5081  1 Pm 3.92, 4 La 4.00, 6 Ac 4.03-4.25
7 Ac 0.2802 0.5604 0.3226  1 Y 3.44, 2 Ac 3.55, 2 Pm 3.62
8 Ac 0.4999 0.9999 0.2582  2 Y 3.59, 4 La 3.94
9 Ac 0.7198 0.4396 0.1939  1 Y 3.44, 2 Ac 3.55, 2 Pm 3.63
10 Ac 0.0030 0.0060 0.0082  2 Y 3.68, 4 La 3.79-3.83, 4 Ac 4.04
11 La 0.8858 0.7717 0.7664  1 Pm 3.45, 3 Ac 3.79-3.86
12 La 0.1142 0.2284 0.7499  1 Pm 3.45, 3 Ac 3.79-3.86
13 La 0.1142 0.2283 0.2664  1 Pm 3.45, 3 Ac 3.79-3.86
14 La 0.8858 0.7716 0.2499  1 Pm 3.45, 3 Ac 3.79-3.86
15 Pm 0.8017 0.6034 0.5082  2 La 3.45, 4 Ac 3.62-3.63, 2 Y 3.72
16 Pm 0.1983 0.3966 0.0082  2 La 3.45, 4 Ac 3.62-3.63, 2 Y 3.72
17 Y 0.5994 0.1988 0.0083  6 Ac 3.44-3.68, 2 Pm 3.72
18 Y 0.4006 0.8012 0.5083  6 Ac 3.44-3.68, 2 Pm 3.72

Properties
The mass density is 7.315 g/cm3. As for the formation energy: 0.122 eV per atom.

The following is a PBE calculation of a geometry-optimized Ac2LaPmY2 structure, from Alexandria.

a = 5.3345 Å, b = 7.4732 Å, c = 11.2846 Å
α = 90.00°, β = 90.00°, γ = 90.00°
Closest atoms and distances in Å follow each position.
Fractional positions:
1 Ac 0.5000 0.1278 0.0014  6 Ac 3.74-3.82, 5 Y 3.80-3.83, 1 La 3.86
2 Ac 0.0000 0.3820 0.1751  1 Pm 3.72, 5 Y 3.72-3.96, 2 La 3.76, 4 Ac 3.80-3.82
3 Ac 0.5000 0.6278 0.9986  6 Ac 3.74-3.82, 5 Y 3.80-3.83, 1 La 3.86
4 Ac 0.0000 0.8820 0.8249  1 Pm 3.72, 5 Y 3.72-3.96, 2 La 3.76, 4 Ac 3.80-3.82
5 La 0.5000 0.1348 0.6593  5 Y 3.63-3.75, 4 Pm 3.71-3.73, 3 Ac 3.76-3.86
6 La 0.5000 0.6348 0.3407  5 Y 3.63-3.75, 4 Pm 3.71-3.73, 3 Ac 3.76-3.86
7 Pm 0.0000 0.8884 0.4957  5 Y 3.61-3.78, 4 La 3.71-3.73, 1 Ac 3.72, 2 Pm 3.74
8 Pm 0.0000 0.3884 0.5043  5 Y 3.61-3.78, 4 La 3.71-3.73, 1 Ac 3.72, 2 Pm 3.74
9 Y 0.0000 0.3801 0.8238  1 Pm 3.61, 7 Ac 3.72-3.96, 2 La 3.73, 2 Y 3.74
10 Y 0.5000 0.1325 0.3377  3 La 3.63-3.75, 4 Pm 3.69-3.78, 3 Ac 3.74-3.80, 2 Y 3.74
11 Y 0.0000 0.8801 0.1762  1 Pm 3.61, 7 Ac 3.72-3.96, 2 La 3.73, 2 Y 3.74
12 Y 0.5000 0.6325 0.6623  3 La 3.63-3.75, 4 Pm 3.69-3.78, 3 Ac 3.74-3.80, 2 Y 3.74

Properties
The mass density is 6.760 g/cm3. As for the formation energy: 0.042 eV per atom.

The following is a PBE calculation of a geometry-optimized AcLa2PmY structure, from Alexandria.

a = 6.0132 Å, b = 6.5745 Å, c = 10.0419 Å
α = 70.83°, β = 90.00°, γ = 90.00°
Closest atoms and distances in Å follow each position.
Fractional positions:
1 Ac 0.7500 0.5684 0.1983  4 Y 3.73-3.83, 3 Pm 3.74-3.81, 5 La 3.75-3.87
2 Ac 0.2500 0.4316 0.8017  4 Y 3.73-3.83, 3 Pm 3.74-3.81, 5 La 3.75-3.87
3 La 0.7500 0.7744 0.7984  2 Pm 3.71-3.87, 3 La 3.72-3.74, 4 Y 3.72-3.89, 3 Ac 3.75-3.79
4 La 0.2500 0.2256 0.2016  2 Pm 3.71-3.87, 3 La 3.72-3.74, 4 Y 3.72-3.89, 3 Ac 3.75-3.79
5 La 0.2500 0.0414 0.5932  5 La 3.68-3.74, 4 Pm 3.68-3.78, 2 Ac 3.81-3.87, 1 Y 3.84
6 La 0.7500 0.9586 0.4068  5 La 3.68-3.74, 4 Pm 3.68-3.78, 2 Ac 3.81-3.87, 1 Y 3.84
7 Pm 0.7500 0.3594 0.6002  6 La 3.68-3.87, 3 Ac 3.74-3.81, 2 Pm 3.75, 1 Y 3.81
8 Pm 0.2500 0.6406 0.3998  6 La 3.68-3.87, 3 Ac 3.74-3.81, 2 Pm 3.75, 1 Y 3.81
9 Y 0.2500 0.8412 0.9983  2 Y 3.67, 5 La 3.72-3.89, 4 Ac 3.73-3.83, 1 Pm 3.81
10 Y 0.7500 0.1588 0.0017  2 Y 3.67, 5 La 3.72-3.89, 4 Ac 3.73-3.83, 1 Pm 3.81

Properties
The mass density is 6.543 g/cm3. As for the formation energy: 0.041 eV per atom.

The following is a PBE calculation of a geometry-optimized AcLa3Pm2Y6 structure, from Alexandria.

a = 6.3639 Å, b = 6.3639 Å, c = 11.9855 Å
α = 95.07°, β = 95.07°, γ = 120.01°
Closest atoms and distances in Å follow each position.
Fractional positions:
1 Ac 0.0000 0.0000 0.0000  6 Y 3.64-3.65, 6 Pm 3.67
2 La 0.1674 0.8326 0.5000  6 Y 3.62-3.64, 6 La 3.67-3.69
3 La 0.8326 0.1674 0.5000  6 Y 3.62-3.64, 6 La 3.67-3.69
4 La 0.5000 0.5000 0.5000  6 Y 3.62-3.63, 6 La 3.67-3.68
5 Pm 0.3332 0.6668 0.0000  6 Y 3.63, 3 Pm 3.67-3.68, 3 Ac 3.67
6 Pm 0.6668 0.3332 0.0000  6 Y 3.63, 3 Pm 3.67-3.68, 3 Ac 3.67
7 Y 0.9162 0.5802 0.7498  3 La 3.62-3.64, 2 Pm 3.63, 1 Ac 3.65, 6 Y 3.66-3.70
8 Y 0.7478 0.7478 0.2503  3 La 3.62-3.64, 2 Pm 3.63, 1 Ac 3.64, 6 Y 3.66-3.70
9 Y 0.0838 0.4198 0.2502  3 La 3.62-3.64, 2 Pm 3.63, 1 Ac 3.65, 6 Y 3.66-3.70
10 Y 0.5802 0.9162 0.7498  3 La 3.62-3.64, 2 Pm 3.63, 1 Ac 3.65, 6 Y 3.66-3.70
11 Y 0.2522 0.2522 0.7497  3 La 3.62-3.64, 2 Pm 3.63, 1 Ac 3.64, 6 Y 3.66-3.70
12 Y 0.4198 0.0838 0.2502  3 La 3.62-3.64, 2 Pm 3.63, 1 Ac 3.65, 6 Y 3.66-3.70

Properties
The mass density is 5.889 g/cm3. As for the formation energy: 0.014 eV per atom.

The following is a PBE calculation of a geometry-optimized AcLa5Pm2Y structure, from Alexandria.

a = 9.3122 Å, b = 9.3122 Å, c = 10.1554 Å
α = 117.29°, β = 117.29°, γ = 90.00°
Closest atoms and distances in Å follow each position.
Fractional positions:
1 Ac 0.2500 0.2500 0.5000  10 La 3.82-3.87
2 Ac 0.7500 0.7500 0.5000  10 La 3.82-3.87
3 La 0.9281 0.4281 0.2623  1 Pm 3.16, 1 Y 3.24
4 La 0.6658 0.1658 0.7377  1 Pm 3.16, 1 Y 3.24
5 La 0.0719 0.5719 0.7377  1 Pm 3.16, 1 Y 3.24
6 La 0.1658 0.0719 0.7377  1 Pm 3.16, 1 Y 3.24
7 La 0.5719 0.6658 0.7377  1 Pm 3.16, 1 Y 3.24
8 La 0.8342 0.9281 0.2623  1 Pm 3.16, 1 Y 3.24
9 La 0.4281 0.3342 0.2623  1 Pm 3.16, 1 Y 3.24
10 La 0.3342 0.8342 0.2623  1 Pm 3.16, 1 Y 3.24
11 La 0.5000 0.5000 0.0000  4 Pm 3.75, 2 Ac 3.87, 8 La 3.92
12 La 0.0000 0.0000 0.0000  4 Pm 3.75, 2 Ac 3.87, 8 La 3.92
13 Pm 0.1134 0.3866 0.0000  1 Pm 2.99, 2 La 3.16
14 Pm 0.6134 0.1134 0.0000  1 Pm 2.99, 2 La 3.16
15 Pm 0.3866 0.8866 0.0000  1 Pm 2.99, 2 La 3.16
16 Pm 0.8866 0.6134 0.0000  1 Pm 2.99, 2 La 3.16
17 Y 0.2500 0.7500 0.5000  4 La 3.24
18 Y 0.7500 0.2500 0.5000  4 La 3.24

Properties
The mass density is 6.442 g/cm3. As for the formation energy: 0.246 eV per atom.

The following is a PBE calculation of a geometry-optimized Ac2La3PmY6 structure, from Alexandria.

a = 6.4278 Å, b = 6.4278 Å, c = 12.0237 Å
α = 95.11°, β = 95.11°, γ = 120.00°
Closest atoms and distances in Å follow each position.
Fractional positions:
1 Ac 0.3335 0.6665 0.0000  6 Y 3.68, 3 Ac 3.71, 3 Pm 3.71
2 Ac 0.6665 0.3335 0.0000  6 Y 3.68, 3 Ac 3.71, 3 Pm 3.71
3 La 0.1668 0.8332 0.5000  6 Y 3.62-3.64, 6 La 3.71
4 La 0.8332 0.1668 0.5000  6 Y 3.62-3.64, 6 La 3.71
5 La 0.5000 0.5000 0.5000  6 Y 3.62-3.63, 6 La 3.71
6 Pm 0.0000 0.0000 0.0000  6 Y 3.67, 6 Ac 3.71
7 Y 0.9162 0.5853 0.7475  3 La 3.62-3.64, 1 Pm 3.67, 2 Ac 3.68, 6 Y 3.68-3.72
8 Y 0.7530 0.7530 0.2528  3 La 3.62-3.63, 1 Pm 3.67, 2 Ac 3.68, 6 Y 3.68-3.72
9 Y 0.0838 0.4147 0.2525  3 La 3.62-3.64, 1 Pm 3.67, 2 Ac 3.68, 6 Y 3.68-3.72
10 Y 0.5853 0.9162 0.7475  3 La 3.62-3.64, 1 Pm 3.67, 2 Ac 3.68, 6 Y 3.68-3.72
11 Y 0.2470 0.2470 0.7472  3 La 3.62-3.63, 1 Pm 3.67, 2 Ac 3.68, 6 Y 3.68-3.72
12 Y 0.4147 0.0838 0.2525  3 La 3.62-3.64, 1 Pm 3.67, 2 Ac 3.68, 6 Y 3.68-3.72

Properties
The mass density is 6.077 g/cm3. As for the formation energy: 0.020 eV per atom.

The following is a PBE calculation of a geometry-optimized Ac5LaPm2Y structure, from Alexandria.

a = 6.0239 Å, b = 11.2815 Å, c = 11.2976 Å
α = 90.00°, β = 90.00°, γ = 105.48°
Closest atoms and distances in Å follow each position.
Fractional positions:
1 Ac 0.3743 0.7485 0.0183  4 Pm 3.88-3.94, 6 Ac 3.92-4.25, 1 Y 3.98
2 Ac 0.7234 0.4469 0.8214  1 La 3.27, 1 Pm 3.54
3 Ac 0.4863 0.9725 0.7458  2 La 3.36-3.62
4 Ac 0.2982 0.5964 0.7040  1 La 3.62, 3 Ac 3.67-3.92, 2 Y 3.71, 3 Pm 3.74-3.98
5 Ac 0.9880 0.9760 0.5132  2 La 3.53, 3 Pm 3.62-3.81, 1 Y 3.90
6 Ac 0.6257 0.2515 0.5183  4 Pm 3.88-3.94, 6 Ac 3.92-4.25, 1 Y 3.98
7 Ac 0.2766 0.5531 0.3214  1 La 3.27, 1 Pm 3.54
8 Ac 0.5137 0.0275 0.2458  2 La 3.36-3.62
9 Ac 0.7018 0.4036 0.2040  1 La 3.62, 3 Ac 3.67-3.92, 2 Y 3.71, 3 Pm 3.74-3.98
10 Ac 0.0120 0.0240 0.0132  2 La 3.53, 3 Pm 3.62-3.81, 1 Y 3.90
11 La 0.5921 0.1842 0.9626  6 Ac 3.27-3.62
12 La 0.4079 0.8158 0.4626  6 Ac 3.27-3.62
13 Pm 0.8862 0.7724 0.8032  9 Ac 3.54-3.95, 1 Y 3.68
14 Pm 0.1162 0.2325 0.7418  1 Y 3.48, 2 Ac 3.80-3.81
15 Pm 0.1138 0.2276 0.3032  9 Ac 3.54-3.95, 1 Y 3.68
16 Pm 0.8838 0.7675 0.2418  1 Y 3.48, 2 Ac 3.80-3.81
17 Y 0.8086 0.6171 0.5137  2 Pm 3.48-3.68, 4 Ac 3.71-3.78, 2 La 3.75
18 Y 0.1914 0.3829 0.0137  2 Pm 3.48-3.68, 4 Ac 3.71-3.78, 2 La 3.75

Properties
The mass density is 7.419 g/cm3. As for the formation energy: 0.147 eV per atom.

The following is a PBE calculation of a geometry-optimized Ac2LaPm2Y structure, from Alexandria.

a = 5.9636 Å, b = 7.3896 Å, c = 10.3077 Å
α = 90.00°, β = 90.00°, γ = 90.00°
Closest atoms and distances in Å follow each position.
Fractional positions:
1 Ac 0.5000 0.0076 0.0001  6 Ac 3.69-3.93, 2 Y 3.92, 6 Pm 3.93-3.97
2 Ac 0.0000 0.2577 0.1726  5 Pm 3.45-3.69, 2 La 3.85
3 Ac 0.5000 0.5076 0.9999  6 Ac 3.69-3.93, 2 Y 3.92, 6 Pm 3.93-3.97
4 Ac 0.0000 0.7577 0.8274  5 Pm 3.45-3.69, 2 La 3.85
5 La 0.0000 0.0075 0.5000  2 La 3.69, 2 Ac 3.85, 6 Pm 3.85-3.87, 4 Y 3.90
6 La 0.0000 0.5075 0.5000  2 La 3.69, 2 Ac 3.85, 6 Pm 3.85-3.87, 4 Y 3.90
7 Pm 0.0000 0.2577 0.8277  2 Y 3.42, 3 Ac 3.56-3.69
8 Pm 0.5000 0.2575 0.3406  3 Y 3.34-3.70, 2 Ac 3.45
9 Pm 0.0000 0.7577 0.1723  2 Y 3.42, 3 Ac 3.56-3.69
10 Pm 0.5000 0.7575 0.6594  3 Y 3.34-3.70, 2 Ac 3.45
11 Y 0.5000 0.2575 0.6644  5 Pm 3.34-3.70
12 Y 0.5000 0.7575 0.3356  5 Pm 3.34-3.70

Properties
The mass density is 7.105 g/cm3. As for the formation energy: 0.073 eV per atom.